1.
First-principles (GGA-PBE) data for a relaxed structure of AlCdTc, as listed in Alexandria via LeMat-Bulk.

a b c (Å): 3.200 3.200 9.947
angles (deg): 90.00 90.00 90.00
Space group I4mm (No. 107)
Symmetry-distinct sites (fractional):
Al 0.000 0.000 0.000 [2 per cell]
Cd 0.000 0.000 0.302 [2 per cell]
Tc 0.000 0.000 0.616 [2 per cell]

Results
excess energy over the best structure of this formula in the dataset = 0.00 eV/f.u.
DFT formation energy = 0.1291 eV per atom
VASP energy = -4.879 eV/atom
ρ = 7.7 g/cm3

2.
First-principles (GGA-PBE) data for a relaxed structure of Al2CdTc, as listed in Alexandria via LeMat-Bulk.

a b c (Å): 2.818 4.800 4.815
angles (deg): 90.00 90.00 90.00
Space group Pmm2 (No. 25)
Symmetry-distinct sites (fractional):
Al 0.000 0.000 0.000 [1 per cell]
Al 0.500 0.500 0.204 [1 per cell]
Cd 0.000 0.500 0.696 [1 per cell]
Tc 0.500 0.000 0.477 [1 per cell]

Results
DFT formation energy = -0.0067 eV per atom
VASP energy = -4.698 eV/atom
ρ = 6.7 g/cm3

3.
First-principles (GGA-PBE) data for a relaxed structure of AlCdTc2, as listed in Alexandria via LeMat-Bulk.

a b c (Å): 3.880 3.880 4.220
angles (deg): 90.00 90.00 90.00
Space group P4/mmm (No. 123)
Symmetry-distinct sites (fractional):
Al 0.000 0.000 0.000 [1 per cell]
Cd 0.500 0.500 0.000 [1 per cell]
Tc 0.000 0.500 0.500 [2 per cell]

Results
excess energy over the best structure of this formula in the dataset = 1.42 eV/f.u.
DFT formation energy = 0.3073 eV per atom
VASP energy = -6.040 eV/atom
ρ = 8.8 g/cm3

4.
First-principles (GGA-PBE) data for a relaxed structure of Al3CdTc, as listed in Alexandria via LeMat-Bulk.

a b c (Å): 4.779 4.779 4.779
angles (deg): 90.00 90.00 90.00
Space group Pm-3m (No. 221)
Symmetry-distinct sites (fractional):
Al 0.000 0.000 0.500 [3 per cell]
Cd 0.500 0.500 0.500 [1 per cell]
Tc 0.000 0.000 0.000 [1 per cell]

Results
excess energy over the best structure of this formula in the dataset = 0.00 eV/f.u.
DFT formation energy = 0.2372 eV per atom
VASP energy = -4.265 eV/atom
ρ = 4.4 g/cm3

5.
First-principles (GGA-PBE) data for a relaxed structure of AlCdTc2, as listed in Alexandria via LeMat-Bulk.

a b c (Å): 2.8307 2.8307 27.4294
angles (deg): 90.00 90.00 120.00
Space group R-3m (No. 166, hexagonal axes)
Symmetry-distinct sites (fractional):
Al 0.0000 0.0000 0.0000 [3 per cell]
Cd 0.0000 0.0000 0.5000 [3 per cell]
Tc 0.0000 0.0000 0.2559 [6 per cell]

Results
excess energy over the best structure of this formula in the dataset = 0.84 eV/f.u.
DFT formation energy = 0.1611 eV per atom
VASP energy = -6.186 eV/atom
ρ = 8.8 g/cm3

6.
First-principles (GGA-PBE) data for a relaxed structure of AlCdTc2, as listed in Alexandria via LeMat-Bulk.

a b c (Å): 3.012 3.012 7.103
angles (deg): 90.00 90.00 90.00
Space group P4mm (No. 99)
Symmetry-distinct sites (fractional):
Al 0.000 0.000 0.000 [1 per cell]
Cd 0.500 0.500 0.291 [1 per cell]
Tc 0.000 0.000 0.574 [1 per cell]
Tc 0.500 0.500 0.789 [1 per cell]

Results
excess energy over the best structure of this formula in the dataset = 0.00 eV/f.u.
DFT formation energy = -0.0485 eV per atom
VASP energy = -6.396 eV/atom
ρ = 8.6 g/cm3

7.
First-principles (GGA-PBE) data for a relaxed structure of Al2CdTc, as listed in Alexandria via LeMat-Bulk.

a b c (Å): 7.212 7.212 5.633
angles (deg): 90.00 90.00 90.00
Space group I-42d (No. 122)
Symmetry-distinct sites (fractional):
Al 0.223 0.250 0.125 [8 per cell]
Cd 0.000 0.000 0.500 [4 per cell]
Tc 0.000 0.000 0.000 [4 per cell]

Results
DFT formation energy = 0.4329 eV per atom
VASP energy = -4.259 eV/atom
ρ = 6.0 g/cm3

8.
First-principles (GGA-PBE) data for a relaxed structure of AlCdTc, as listed in Alexandria via LeMat-Bulk.

a b c (Å): 6.052 6.052 6.052
angles (deg): 90.00 90.00 90.00
Space group F-43m (No. 216)
Symmetry-distinct sites (fractional):
Al 0.000 0.000 0.000 [4 per cell]
Cd 0.250 0.250 0.250 [4 per cell]
Tc 0.250 0.250 0.750 [4 per cell]

Results
excess energy over the best structure of this formula in the dataset = 1.02 eV/f.u.
DFT formation energy = 0.4706 eV per atom
VASP energy = -4.537 eV/atom
ρ = 7.1 g/cm3

9.
First-principles (GGA-PBE) data for a relaxed structure of Al2CdTc, as listed in Alexandria via LeMat-Bulk.

a b c (Å): 3.974 3.974 8.157
angles (deg): 90.00 90.00 90.00
Space group I4/mmm (No. 139)
Symmetry-distinct sites (fractional):
Al 0.000 0.500 0.250 [4 per cell]
Cd 0.000 0.000 0.000 [2 per cell]
Tc 0.000 0.000 0.500 [2 per cell]

Results
DFT formation energy = -0.0632 eV per atom
VASP energy = -4.755 eV/atom
ρ = 6.8 g/cm3

10.
First-principles (GGA-PBE) data for a relaxed structure of Al2CdTc4, as listed in Alexandria via LeMat-Bulk.

a b c (Å): 4.842 4.842 12.817
angles (deg): 90.00 90.00 90.00
Space group I4/mmm (No. 139)
Symmetry-distinct sites (fractional):
Al 0.000 0.000 0.100 [4 per cell]
Cd 0.000 0.000 0.500 [2 per cell]
Tc 0.000 0.000 0.295 [4 per cell]
Tc 0.000 0.500 0.000 [4 per cell]

Results
DFT formation energy = 1.7089 eV per atom
VASP energy = -5.415 eV/atom
ρ = 6.2 g/cm3

11.
First-principles (GGA-PBE) data for a relaxed structure of AlCdTe3, as listed in Alexandria via LeMat-Bulk.

a b c (Å): 5.621 5.621 5.621
angles (deg): 90.00 90.00 90.00
Space group Pm-3m (No. 221)
Symmetry-distinct sites (fractional):
Al 0.000 0.000 0.000 [1 per cell]
Cd 0.500 0.500 0.500 [1 per cell]
Te 0.000 0.500 0.500 [3 per cell]

Results
excess energy over the best structure of this formula in the dataset = 4.21 eV/f.u.
VASP energy = -2.283 eV/atom
ρ = 4.9 g/cm3
formation energy without anion corrections = 534 meV per atom

12.
First-principles (GGA-PBE) data for a relaxed structure of AlCd3Te4, as listed in Alexandria via LeMat-Bulk.

a b c (Å): 6.668 6.668 13.008
angles (deg): 90.00 90.00 90.00
Space group I-42m (No. 121)
Symmetry-distinct sites (fractional):
Al 0.000 0.000 0.000 [2 per cell]
Cd 0.000 0.000 0.500 [2 per cell]
Cd 0.000 0.500 0.250 [4 per cell]
Te 0.234 0.234 0.881 [8 per cell]

Results
excess energy over the best structure of this formula in the dataset = 0.00 eV/f.u.
VASP energy = -2.720 eV/atom
ρ = 5.0 g/cm3
formation energy without anion corrections = -338 meV per atom

Number 1: Fermi-level density of states 5.55 states/eV per cell. Number 2: Fermi-level density of states 1.79 states/eV per cell. Number 3: Fermi-level density of states 4.51 states/eV per cell. Number 4: Fermi-level density of states 3.38 states/eV per cell. Number 5: Fermi-level density of states 13.13 states/eV per cell. Number 6: Fermi-level density of states 2.41 states/eV per cell. Number 7: Fermi-level density of states 10.31 states/eV per cell. Number 8: Fermi-level density of states 9.08 states/eV per cell. Number 9: Fermi-level density of states 3.33 states/eV per cell. Number 10: Fermi-level density of states 19.29 states/eV per cell. Number 11: Fermi-level density of states 4.65 states/eV per cell. Number 12: Fermi-level density of states 6.23 states/eV per cell.